1.
First-principles (PBE) data for crystalline BaMg2Ag at its relaxed geometry, as listed in Alexandria via LeMat-Bulk.

Unit cell a=4.6257 b=4.9251 c=5.8561 alpha=90.00 beta=106.14 gamma=90.00
Atoms (fractional coordinates):
Ba 0.0000 0.0000 0.0000
Mg 0.3493 0.5000 0.6919
Mg 0.6507 0.5000 0.3081
Ag 0.5000 0.0000 0.5000

Summary:
- Fermi-level density of states (states/eV per cell) = 3.2
- crystal system = monoclinic
- calculated formation energy (eV per atom) = -0.032

---

2.
First-principles (PBE) data for crystalline BaMg2Ag at its relaxed geometry, as listed in Alexandria via LeMat-Bulk.

Unit cell a=6.4317 b=6.4317 c=6.4317 alpha=146.30 beta=126.21 gamma=65.00
Atoms (fractional coordinates):
Ba 0.0000 0.0000 0.0000
Mg 0.2960 0.7960 0.5000
Mg 0.7040 0.2040 0.5000
Ag 0.5000 0.5000 0.0000

Summary:
- Fermi-level density of states (states/eV per cell) = 2.1
- crystal system = orthorhombic
- calculated formation energy (eV per atom) = -0.043

---

3.
First-principles (PBE) data for crystalline BaMg2Ag2 at its relaxed geometry, as listed in Alexandria via LeMat-Bulk.

Unit cell a=7.2078 b=7.2078 c=7.2078 alpha=142.87 beta=142.87 gamma=53.52
Atoms (fractional coordinates):
Ba 0.0000 0.0000 0.0000
Mg 0.2500 0.7500 0.5000
Mg 0.7500 0.2500 0.5000
Ag 0.3844 0.3844 0.0000
Ag 0.6156 0.6156 0.0000

Summary:
- Fermi-level density of states (states/eV per cell) = 2.5
- crystal system = tetragonal
- calculated formation energy (eV per atom) = -0.231

---

4.
First-principles (PBE) data for crystalline Ba2Mg2Ag at its relaxed geometry, as listed in Alexandria via LeMat-Bulk.

Unit cell a=7.7984 b=7.7984 c=5.7895 alpha=90.00 beta=90.00 gamma=90.00
Atoms (fractional coordinates):
Ba 0.1751 0.3249 0.0000
Ba 0.3249 0.8249 0.0000
Ba 0.6751 0.1751 0.0000
Ba 0.8249 0.6751 0.0000
Mg 0.1404 0.6404 0.5000
Mg 0.3596 0.1404 0.5000
Mg 0.6404 0.8596 0.5000
Mg 0.8596 0.3596 0.5000
Ag 0.0000 0.0000 0.5000
Ag 0.5000 0.5000 0.5000

Summary:
- Fermi-level density of states (states/eV per cell) = 12.9
- crystal system = tetragonal
- calculated formation energy (eV per atom) = 0.003

---

5.
First-principles (PBE) data for crystalline Ba2MgAg at its relaxed geometry, as listed in Alexandria via LeMat-Bulk.

Unit cell a=7.6980 b=7.6980 c=7.6980 alpha=104.66 beta=104.66 gamma=119.59
Atoms (fractional coordinates):
Ba 0.0896 0.6250 0.9646
Ba 0.3750 0.3396 0.4646
Ba 0.6604 0.1250 0.0354
Ba 0.8750 0.9104 0.5354
Mg 0.2500 0.7500 0.5000
Mg 0.5000 0.5000 0.0000
Ag 0.0000 0.0000 0.0000
Ag 0.7500 0.2500 0.5000

Summary:
- Fermi-level density of states (states/eV per cell) = 6.7
- crystal system = tetragonal
- calculated formation energy (eV per atom) = 0.111

---

6.
First-principles (PBE) data for crystalline Ba4Mg2Ag5 at its relaxed geometry, as listed in Alexandria via LeMat-Bulk.

Unit cell a=12.2953 b=12.2953 c=12.2953 alpha=130.97 beta=58.68 gamma=149.78
Atoms (fractional coordinates):
Ba 0.0607 0.7224 0.7830
Ba 0.1553 0.1265 0.2818
Ba 0.3447 0.6265 0.9712
Ba 0.4393 0.2224 0.6617
Ba 0.5607 0.7776 0.3383
Ba 0.6553 0.3735 0.0288
Ba 0.8447 0.8735 0.7182
Ba 0.9393 0.2776 0.2170
Mg 0.0533 0.7500 0.3033
Mg 0.4467 0.7500 0.6967
Mg 0.5533 0.2500 0.3033
Mg 0.9467 0.2500 0.6967
Ag 0.0902 0.4146 0.5048
Ag 0.2194 0.8139 0.0333
Ag 0.2500 0.2500 0.0000
Ag 0.2806 0.3139 0.5944
Ag 0.4098 0.9146 0.3244
Ag 0.5902 0.0854 0.6756
Ag 0.7194 0.6861 0.4056
Ag 0.7500 0.7500 0.0000
Ag 0.7806 0.1861 0.9667
Ag 0.9098 0.5854 0.4952

Summary:
- Fermi-level density of states (states/eV per cell) = 13.7
- crystal system = orthorhombic
- calculated formation energy (eV per atom) = -0.162

---

7.
First-principles (PBE) data for crystalline Ba2Mg3Ag2 at its relaxed geometry, as listed in Alexandria via LeMat-Bulk.

Unit cell a=6.5051 b=6.5051 c=8.5067 alpha=116.04 beta=116.04 gamma=41.95
Atoms (fractional coordinates):
Ba 0.1369 0.1369 0.2690
Ba 0.8631 0.8631 0.7310
Mg 0.3546 0.3546 0.0705
Mg 0.5000 0.5000 0.5000
Mg 0.6454 0.6454 0.9295
Ag 0.1359 0.1359 0.7112
Ag 0.8641 0.8641 0.2888

Summary:
- Fermi-level density of states (states/eV per cell) = 5.1
- crystal system = monoclinic
- calculated formation energy (eV per atom) = -0.197

---

8.
First-principles (PBE) data for crystalline Ba2MgAg at its relaxed geometry, as listed in Alexandria via LeMat-Bulk.

Unit cell a=5.7362 b=5.7362 c=5.7362 alpha=60.00 beta=60.00 gamma=60.00
Atoms (fractional coordinates):
Ba 0.0000 0.0000 0.0000
Ba 0.2500 0.2500 0.2500
Mg 0.5000 0.5000 0.5000
Ag 0.7500 0.7500 0.7500

Summary:
- Fermi-level density of states (states/eV per cell) = 3.9
- crystal system = cubic
- calculated formation energy (eV per atom) = 0.008

---

9.
First-principles (PBE) data for crystalline BaMg2Ag at its relaxed geometry, as listed in Alexandria via LeMat-Bulk.

Unit cell a=4.6113 b=4.6113 c=11.4659 alpha=90.00 beta=90.00 gamma=90.00
Atoms (fractional coordinates):
Ba 0.2500 0.2500 0.2362
Ba 0.7500 0.7500 0.7638
Mg 0.2500 0.2500 0.9238
Mg 0.2500 0.7500 0.5000
Mg 0.7500 0.2500 0.5000
Mg 0.7500 0.7500 0.0762
Ag 0.2500 0.2500 0.6534
Ag 0.7500 0.7500 0.3466

Summary:
- Fermi-level density of states (states/eV per cell) = 5.2
- crystal system = tetragonal
- calculated formation energy (eV per atom) = -0.130

---

10.
First-principles (PBE) data for crystalline BaMg7Ag5 at its relaxed geometry, as listed in Alexandria via LeMat-Bulk.

Unit cell a=7.6523 b=7.6523 c=7.6523 alpha=136.12 beta=97.00 gamma=99.06
Atoms (fractional coordinates):
Ba 0.0000 0.0000 0.0000
Mg 0.2125 0.4973 0.7152
Mg 0.3317 0.9811 0.3506
Mg 0.3413 0.3413 0.0000
Mg 0.6305 0.9811 0.6494
Mg 0.6437 0.6437 0.0000
Mg 0.7645 0.2645 0.5000
Mg 0.7820 0.4973 0.2848
Ag 0.2188 0.7188 0.5000
Ag 0.4986 0.4918 0.5048
Ag 0.4986 0.9937 0.0068
Ag 0.9869 0.4918 0.9932
Ag 0.9869 0.9937 0.4952

Summary:
- Fermi-level density of states (states/eV per cell) = 7.3
- crystal system = orthorhombic
- calculated formation energy (eV per atom) = -0.170

---

11.
First-principles (PBE) data for crystalline Ba3Mg4Ag4 at its relaxed geometry, as listed in Alexandria via LeMat-Bulk.

Unit cell a=9.3780 b=9.3780 c=9.3780 alpha=150.68 beta=126.63 gamma=62.06
Atoms (fractional coordinates):
Ba 0.0000 0.0000 0.0000
Ba 0.3760 0.8760 0.5000
Ba 0.6240 0.1240 0.5000
Mg 0.0128 0.3227 0.6901
Mg 0.3674 0.6773 0.6901
Mg 0.6326 0.3227 0.3099
Mg 0.9872 0.6773 0.3099
Ag 0.2195 0.2195 0.0000
Ag 0.3070 0.5000 0.8070
Ag 0.6930 0.5000 0.1930
Ag 0.7805 0.7805 0.0000

Summary:
- Fermi-level density of states (states/eV per cell) = 5.8
- crystal system = orthorhombic
- calculated formation energy (eV per atom) = -0.217

---

12.
First-principles (PBE) data for crystalline Ba5MgAg4 at its relaxed geometry, as listed in Alexandria via LeMat-Bulk.

Unit cell a=4.1556 b=4.1556 c=20.9989 alpha=90.00 beta=90.00 gamma=90.00
Atoms (fractional coordinates):
Ba 0.0000 0.0000 0.0000
Ba 0.0000 0.0000 0.1944
Ba 0.0000 0.0000 0.3877
Ba 0.0000 0.0000 0.6123
Ba 0.0000 0.0000 0.8056
Mg 0.5000 0.5000 0.5000
Ag 0.5000 0.5000 0.0971
Ag 0.5000 0.5000 0.2933
Ag 0.5000 0.5000 0.7067
Ag 0.5000 0.5000 0.9029

Summary:
- Fermi-level density of states (states/eV per cell) = 9.2
- crystal system = tetragonal
- calculated formation energy (eV per atom) = -0.193